Model A:
La2Ni4Ge3P: optimized geometry, PBE.

a = 4.2146 Å, b = 4.2146 Å, c = 9.5695 Å
α = 90.00°, β = 90.00°, γ = 90.00°
Fractional coordinates of all 10 atoms:
La: 0.0000 0.5000 0.2459
La: 0.5000 0.0000 0.7541
Ni: 0.0000 0.0000 0.5000
Ni: 0.0000 0.5000 0.8877
Ni: 0.5000 0.0000 0.1123
Ni: 0.5000 0.5000 0.5000
Ge: 0.0000 0.0000 0.0000
Ge: 0.0000 0.5000 0.6277
Ge: 0.5000 0.0000 0.3723
P: 0.5000 0.5000 0.0000

Calculated values
space-group type: P-4m2
crystal system: tetragonal
volume: 17.0 Å³/atom

***

Model B:
La2Ni4Ge3P: optimized geometry, PBE.

a = 4.1470 Å, b = 4.1470 Å, c = 9.9158 Å
α = 90.00°, β = 90.00°, γ = 90.00°
Fractional coordinates of all 10 atoms:
La: 0.0000 0.0000 0.0000
La: 0.5000 0.5000 0.4903
Ni: 0.0000 0.5000 0.2348
Ni: 0.0000 0.5000 0.7473
Ni: 0.5000 0.0000 0.2348
Ni: 0.5000 0.0000 0.7473
Ge: 0.0000 0.0000 0.3597
Ge: 0.0000 0.0000 0.6275
Ge: 0.5000 0.5000 0.8652
P: 0.5000 0.5000 0.1316

Calculated values
space-group type: P4mm
crystal system: tetragonal
volume: 17.1 Å³/atom

***

Stability order, top to bottom: model B, model A

***

Model A:
LaZn2NiGe: optimized geometry, PBE.

a = 4.8987 Å, b = 4.8987 Å, c = 4.5823 Å
α = 90.00°, β = 90.00°, γ = 90.00°
Fractional coordinates of all 5 atoms:
La: 0.0000 0.0000 0.0000
Zn: 0.0000 0.5000 0.5000
Zn: 0.5000 0.0000 0.5000
Ni: 0.5000 0.5000 0.0000
Ge: 0.5000 0.5000 0.5000

Calculated values
space-group type: P4/mmm
crystal system: tetragonal
volume: 22.0 Å³/atom

***

Model B:
LaZn2NiGe: optimized geometry, PBE.

a = 4.6258 Å, b = 4.6258 Å, c = 4.6170 Å
α = 90.00°, β = 90.00°, γ = 90.00°
Fractional coordinates of all 5 atoms:
La: 0.0000 0.0000 0.0000
Zn: 0.0000 0.5000 0.5000
Zn: 0.5000 0.0000 0.5000
Ni: 0.5000 0.5000 0.5000
Ge: 0.5000 0.5000 0.0000

Calculated values
space-group type: P4/mmm
crystal system: tetragonal
volume: 19.8 Å³/atom

***

Stability order, top to bottom: model B, model A

***

Model A:
La3Ge2O: optimized geometry, PBE.

a = 6.7726 Å, b = 6.7726 Å, c = 6.7860 Å
α = 90.00°, β = 90.00°, γ = 79.32°
Fractional coordinates of all 12 atoms:
La: 0.1477 0.8523 0.7500
La: 0.3291 0.3291 0.0000
La: 0.3291 0.3291 0.5000
La: 0.6709 0.6709 0.0000
La: 0.6709 0.6709 0.5000
La: 0.8523 0.1477 0.2500
Ge: 0.0587 0.6851 0.2500
Ge: 0.3149 0.9413 0.2500
Ge: 0.6851 0.0587 0.7500
Ge: 0.9413 0.3149 0.7500
O: 0.4162 0.5838 0.7500
O: 0.5838 0.4162 0.2500

Calculated values
space-group type: Cmcm
crystal system: orthorhombic
volume: 25.5 Å³/atom

***

Model B:
La3Ge2O: optimized geometry, PBE.

a = 8.9960 Å, b = 4.2072 Å, c = 17.3586 Å
α = 90.00°, β = 90.00°, γ = 90.00°
Fractional coordinates of all 24 atoms:
La: 0.0066 0.2500 0.1064
La: 0.1384 0.2500 0.5761
La: 0.1702 0.7500 0.2718
La: 0.3298 0.2500 0.7718
La: 0.3616 0.7500 0.0761
La: 0.4934 0.7500 0.6064
La: 0.5066 0.2500 0.3936
La: 0.6384 0.2500 0.9239
La: 0.6702 0.7500 0.2282
La: 0.8298 0.2500 0.7282
La: 0.8616 0.7500 0.4239
La: 0.9934 0.7500 0.8936
Ge: 0.0880 0.7500 0.7167
Ge: 0.2480 0.7500 0.4593
Ge: 0.2520 0.2500 0.9593
Ge: 0.4120 0.2500 0.2167
Ge: 0.5880 0.7500 0.7833
Ge: 0.7480 0.7500 0.0407
Ge: 0.7520 0.2500 0.5407
Ge: 0.9120 0.2500 0.2833
O: 0.1237 0.7500 0.1348
O: 0.3763 0.2500 0.6348
O: 0.6237 0.7500 0.3652
O: 0.8763 0.2500 0.8652

Calculated values
space-group type: Pnma
crystal system: orthorhombic
volume: 27.4 Å³/atom

***

Stability order, top to bottom: model B, model A

***

Model A:
La4Ge2O: optimized geometry, PBE.

a = 8.9296 Å, b = 8.9296 Å, c = 8.9296 Å
α = 148.76°, β = 148.76°, γ = 44.76°
Fractional coordinates of all 7 atoms:
La: 0.0000 0.5000 0.5000
La: 0.1789 0.1789 0.0000
La: 0.5000 0.0000 0.5000
La: 0.8211 0.8211 0.0000
Ge: 0.3647 0.3647 0.0000
Ge: 0.6353 0.6353 0.0000
O: 0.0000 0.0000 0.0000

Calculated values
space-group type: I4/mmm
crystal system: tetragonal
volume: 27.3 Å³/atom

***

Model B:
La4Ge2O: optimized geometry, PBE.

a = 6.9629 Å, b = 7.0036 Å, c = 8.7216 Å
α = 90.00°, β = 108.22°, γ = 90.00°
Fractional coordinates of all 14 atoms:
La: 0.0024 0.0008 0.2428
La: 0.0024 0.4992 0.2428
La: 0.4183 0.7500 0.5880
La: 0.4381 0.7500 0.1270
La: 0.5619 0.2500 0.8730
La: 0.5817 0.2500 0.4120
La: 0.9976 0.5008 0.7572
La: 0.9976 0.9992 0.7572
Ge: 0.2193 0.2500 0.5514
Ge: 0.2470 0.2500 0.0634
Ge: 0.7530 0.7500 0.9366
Ge: 0.7807 0.7500 0.4486
O: 0.2356 0.7500 0.3080
O: 0.7644 0.2500 0.6920

Calculated values
space-group type: P2_1/m
crystal system: monoclinic
volume: 28.9 Å³/atom

***

Stability order, top to bottom: model A, model B

***

Model A:
La2GeO: optimized geometry, PBE.

a = 7.1761 Å, b = 7.1761 Å, c = 5.7045 Å
α = 90.37°, β = 90.37°, γ = 44.15°
Fractional coordinates of all 8 atoms:
La: 0.1118 0.6697 0.9976
La: 0.3303 0.8882 0.5024
La: 0.6697 0.1118 0.4976
La: 0.8882 0.3303 0.0024
Ge: 0.0000 0.5000 0.5000
Ge: 0.5000 0.0000 0.0000
O: 0.0007 0.9993 0.2500
O: 0.9993 0.0007 0.7500

Calculated values
space-group type: C2/c
crystal system: monoclinic
volume: 25.6 Å³/atom

***

Model B:
La2GeO: optimized geometry, PBE.

a = 7.0910 Å, b = 7.0910 Å, c = 7.0910 Å
α = 32.81°, β = 32.81°, γ = 32.81°
Fractional coordinates of all 4 atoms:
La: 0.2372 0.2372 0.2372
La: 0.7628 0.7628 0.7628
Ge: 0.0000 0.0000 0.0000
O: 0.5000 0.5000 0.5000

Calculated values
space-group type: R-3m
crystal system: trigonal
volume: 23.3 Å³/atom

***

Stability order, top to bottom: model A, model B

***

Model A:
LaGeP2O: optimized geometry, PBE.

a = 5.7028 Å, b = 5.7028 Å, c = 4.1982 Å
α = 90.00°, β = 90.00°, γ = 90.00°
Fractional coordinates of all 5 atoms:
La: 0.0000 0.0000 0.0000
Ge: 0.5000 0.5000 0.5000
P: 0.0000 0.5000 0.0000
P: 0.5000 0.0000 0.0000
O: 0.0000 0.0000 0.5000

Calculated values
space-group type: P4/mmm
crystal system: tetragonal
volume: 27.3 Å³/atom

***

Model B:
LaGeP2O: optimized geometry, PBE.

a = 4.8602 Å, b = 4.8602 Å, c = 3.9551 Å
α = 90.00°, β = 90.00°, γ = 90.00°
Fractional coordinates of all 5 atoms:
La: 0.0000 0.0000 0.0000
Ge: 0.5000 0.5000 0.5000
P: 0.0000 0.5000 0.5000
P: 0.5000 0.0000 0.5000
O: 0.5000 0.5000 0.0000

Calculated values
space-group type: P4/mmm
crystal system: tetragonal
volume: 18.7 Å³/atom

***

Stability order, top to bottom: model B, model A

***

Model A:
LaZnGeO2: optimized geometry, PBE.

a = 4.3006 Å, b = 4.3006 Å, c = 6.7738 Å
α = 90.00°, β = 90.00°, γ = 90.00°
Fractional coordinates of all 5 atoms:
La: 0.0000 0.0000 0.0000
Zn: 0.0000 0.0000 0.5000
Ge: 0.5000 0.5000 0.5000
O: 0.0000 0.5000 0.0000
O: 0.5000 0.0000 0.0000

Calculated values
space-group type: P4/mmm
crystal system: tetragonal
volume: 25.1 Å³/atom

***

Model B:
LaZnGeO2: optimized geometry, PBE.

a = 4.2484 Å, b = 4.2484 Å, c = 4.5339 Å
α = 90.00°, β = 90.00°, γ = 90.00°
Fractional coordinates of all 5 atoms:
La: 0.0000 0.0000 0.0000
Zn: 0.5000 0.5000 0.0000
Ge: 0.5000 0.5000 0.5000
O: 0.0000 0.5000 0.5000
O: 0.5000 0.0000 0.5000

Calculated values
space-group type: P4/mmm
crystal system: tetragonal
volume: 16.4 Å³/atom

***

Stability order, top to bottom: model B, model A

***

Model A:
LaGe3Os3: optimized geometry, PBE.

a = 8.5459 Å, b = 8.5459 Å, c = 8.5459 Å
α = 44.67°, β = 44.67°, γ = 44.67°
Fractional coordinates of all 14 atoms:
La: 0.1829 0.1829 0.1829
La: 0.8171 0.8171 0.8171
Ge: 0.1857 0.3392 0.7192
Ge: 0.2808 0.8143 0.6608
Ge: 0.3392 0.7192 0.1857
Ge: 0.6608 0.2808 0.8143
Ge: 0.7192 0.1857 0.3392
Ge: 0.8143 0.6608 0.2808
Os: 0.0750 0.2783 0.5538
Os: 0.2783 0.5538 0.0750
Os: 0.4462 0.9250 0.7217
Os: 0.5538 0.0750 0.2783
Os: 0.7217 0.4462 0.9250
Os: 0.9250 0.7217 0.4462

Calculated values
space-group type: R-3
crystal system: trigonal
volume: 20.0 Å³/atom

***

Model B:
LaGe3Os3: optimized geometry, PBE.

a = 6.7588 Å, b = 6.7588 Å, c = 6.7588 Å
α = 90.00°, β = 90.00°, γ = 90.00°
Fractional coordinates of all 14 atoms:
La: 0.0000 0.0000 0.0000
La: 0.5000 0.5000 0.5000
Ge: 0.0000 0.2500 0.5000
Ge: 0.0000 0.7500 0.5000
Ge: 0.2500 0.5000 0.0000
Ge: 0.5000 0.0000 0.2500
Ge: 0.5000 0.0000 0.7500
Ge: 0.7500 0.5000 0.0000
Os: 0.0000 0.5000 0.2500
Os: 0.0000 0.5000 0.7500
Os: 0.2500 0.0000 0.5000
Os: 0.5000 0.2500 0.0000
Os: 0.5000 0.7500 0.0000
Os: 0.7500 0.0000 0.5000

Calculated values
space-group type: Pm-3n
crystal system: cubic
volume: 22.1 Å³/atom

***

Stability order, top to bottom: model A, model B

***

Model A:
LaGe2P: optimized geometry, PBE.

a = 5.0130 Å, b = 5.0130 Å, c = 5.0130 Å
α = 60.00°, β = 60.00°, γ = 60.00°
Fractional coordinates of all 4 atoms:
La: 0.0000 0.0000 0.0000
Ge: 0.2500 0.2500 0.2500
Ge: 0.7500 0.7500 0.7500
P: 0.5000 0.5000 0.5000

Calculated values
space-group type: Fm-3m
crystal system: cubic
volume: 22.3 Å³/atom

***

Model B:
LaGe2P: optimized geometry, PBE.

a = 6.2489 Å, b = 6.2489 Å, c = 6.2489 Å
α = 107.79°, β = 107.79°, γ = 112.89°
Fractional coordinates of all 8 atoms:
La: 0.0000 0.0000 0.0000
La: 0.7500 0.2500 0.5000
Ge: 0.1999 0.6250 0.0749
Ge: 0.3750 0.4499 0.5749
Ge: 0.5501 0.1250 0.9251
Ge: 0.8750 0.8001 0.4251
P: 0.2500 0.7500 0.5000
P: 0.5000 0.5000 0.0000

Calculated values
space-group type: I-42d
crystal system: tetragonal
volume: 23.4 Å³/atom

***

Stability order, top to bottom: model B, model A

***

Model A:
LaGeP3: optimized geometry, PBE.

a = 5.3611 Å, b = 5.3611 Å, c = 5.3611 Å
α = 90.00°, β = 90.00°, γ = 90.00°
Fractional coordinates of all 5 atoms:
La: 0.0000 0.0000 0.0000
Ge: 0.5000 0.5000 0.5000
P: 0.0000 0.0000 0.5000
P: 0.0000 0.5000 0.0000
P: 0.5000 0.0000 0.0000

Calculated values
space-group type: Pm-3m
crystal system: cubic
volume: 30.8 Å³/atom

***

Model B:
LaGeP3: optimized geometry, PBE.

a = 4.7697 Å, b = 4.7697 Å, c = 4.7697 Å
α = 90.00°, β = 90.00°, γ = 90.00°
Fractional coordinates of all 5 atoms:
La: 0.0000 0.0000 0.0000
Ge: 0.5000 0.5000 0.5000
P: 0.0000 0.5000 0.5000
P: 0.5000 0.0000 0.5000
P: 0.5000 0.5000 0.0000

Calculated values
space-group type: Pm-3m
crystal system: cubic
volume: 21.7 Å³/atom

***

Stability order, top to bottom: model B, model A

***

Model A:
La2PaGe: optimized geometry, PBE.

a = 4.7543 Å, b = 4.7543 Å, c = 4.7221 Å
α = 90.00°, β = 90.00°, γ = 90.00°
Fractional coordinates of all 4 atoms:
La: 0.0000 0.5000 0.0000
La: 0.5000 0.0000 0.0000
Pa: 0.0000 0.0000 0.5000
Ge: 0.5000 0.5000 0.5000

Calculated values
space-group type: P4/mmm
crystal system: tetragonal
volume: 26.7 Å³/atom

***

Model B:
La2PaGe: optimized geometry, PBE.

a = 5.3925 Å, b = 5.3925 Å, c = 5.3925 Å
α = 60.00°, β = 60.00°, γ = 60.00°
Fractional coordinates of all 4 atoms:
La: 0.2500 0.2500 0.2500
La: 0.7500 0.7500 0.7500
Pa: 0.0000 0.0000 0.0000
Ge: 0.5000 0.5000 0.5000

Calculated values
space-group type: Fm-3m
crystal system: cubic
volume: 27.7 Å³/atom

***

Stability order, top to bottom: model A, model B

***

Model A:
LaPaGe: optimized geometry, PBE.

a = 4.9454 Å, b = 4.9454 Å, c = 3.5785 Å
α = 90.00°, β = 90.00°, γ = 120.00°
Fractional coordinates of all 3 atoms:
La: 0.0000 0.0000 0.0000
Pa: 0.3333 0.6667 0.6096
Ge: 0.6667 0.3333 0.3494

Calculated values
space-group type: P3m1
crystal system: trigonal
volume: 25.3 Å³/atom

***

Model B:
LaPaGe: optimized geometry, PBE.

a = 12.1329 Å, b = 12.1329 Å, c = 12.1329 Å
α = 162.16°, β = 162.16°, γ = 25.34°
Fractional coordinates of all 6 atoms:
La: 0.0789 0.0789 0.0000
La: 0.9211 0.9211 0.0000
Pa: 0.2210 0.2210 0.0000
Pa: 0.7790 0.7790 0.0000
Ge: 0.3478 0.3478 0.0000
Ge: 0.6522 0.6522 0.0000

Calculated values
space-group type: I4/mmm
crystal system: tetragonal
volume: 27.9 Å³/atom

***

Stability order, top to bottom: model B, model A